# Pu2NiP4Rh3

A relaxed Pu2NiP4Rh3 crystal (PBE-GGA, Alexandria via LeMat-Bulk).

The structure belongs to space group P-4m2 (No. 115); the cell edges are 4.147, 4.147 and 9.355 Å and the angles 90.00°, 90.00° and 90.00°. The distinct sites, in fractional coordinates, are Pu at (0.000, 0.500, 0.246), Ni at (0.000, 0.000, 0.500), P at (0.000, 0.000, 0.000), P at (0.000, 0.500, 0.632), P at (0.500, 0.500, 0.000), Rh at (0.000, 0.500, 0.885) and Rh at (0.500, 0.500, 0.500).

The calculation puts the calculated volume at 16.09 Å³/atom. Its crystal system is tetragonal. The total energy comes out at -86.61 eV for the cell shown. For the energy relative to the elements, the calculation gives -848 meV per atom. The magnetization comes out at 1.006 μB/atom.

***

# PmHo7Sc12

A relaxed PmHo7Sc12 crystal (PBE-GGA, Alexandria via LeMat-Bulk).

The structure belongs to space group R-3 (No. 148, hexagonal axes); the cell edges are 11.4767, 11.4767 and 14.8475 Å and the angles 90.00°, 90.00° and 120.00°. The distinct sites, in fractional coordinates, are Pm at (0.0000, 0.0000, 0.0000), Ho at (0.0000, 0.0000, 0.5000), Ho at (0.0399, 0.1896, 0.7979), Sc at (0.0043, 0.4397, 0.7138) and Sc at (0.0490, 0.5901, 0.0842).

The calculation puts the calculated volume at 28.23 Å³/atom. Its crystal system is trigonal. The total energy comes out at -325.10 eV for the cell shown. For the energy relative to the elements, the calculation gives 220 meV per atom. The magnetization comes out at 0.000 μB/atom.

***

# Pr6Ir2NCl3

A relaxed Pr6Ir2NCl3 crystal (PBE-GGA, Alexandria via LeMat-Bulk).

The structure belongs to space group C2/m (No. 12); the cell edges are 7.015, 12.136 and 7.840 Å and the angles 90.00°, 106.57° and 90.00°. The distinct sites, in fractional coordinates, are Pr at (0.219, 0.156, 0.195), Pr at (0.248, 0.500, 0.196), Ir at (0.000, 0.333, 0.000), N at (0.000, 0.000, 0.000), Cl at (0.000, 0.158, 0.500) and Cl at (0.000, 0.500, 0.500).

The calculation puts the calculated volume at 26.66 Å³/atom. Its crystal system is monoclinic. The total energy comes out at -150.18 eV for the cell shown. Its energy relative to the elements, uncorrected is -1.236 eV/atom. The magnetization comes out at 0.000 μB/atom.

***

# La3GaO

A relaxed La3GaO crystal (PBE-GGA, Alexandria via LeMat-Bulk).

The structure belongs to space group P-1 (No. 2); the cell edges are 5.563, 6.575 and 7.821 Å and the angles 81.05°, 84.55° and 65.83°. The distinct sites, in fractional coordinates, are La at (0.094, 0.428, 0.278), La at (0.244, 0.990, 0.861), La at (0.337, 0.830, 0.446), Ga at (0.444, 0.429, 0.872) and O at (0.129, 0.209, 0.564).

The calculation puts the calculated volume at 25.77 Å³/atom. Its crystal system is triclinic. The total energy comes out at -58.51 eV for the cell shown. Its energy relative to the elements, uncorrected is -1.298 eV/atom. The magnetization comes out at 0.000 μB/atom.

***

# VSe3I

A relaxed VSe3I crystal (PBE-GGA, Alexandria via LeMat-Bulk).

The structure belongs to space group P1 (No. 1); the cell edges are 5.767, 7.123 and 8.668 Å and the angles 68.53°, 89.96° and 89.90°. The distinct sites, in fractional coordinates, are V at (0.000, 0.000, 0.000), V at (0.500, 0.108, 0.987), Se at (0.241, 0.338, 0.997), Se at (0.285, 0.004, 0.776), Se at (0.292, 0.800, 0.170), Se at (0.742, 0.770, 0.989), Se at (0.784, 0.104, 0.211), Se at (0.791, 0.308, 0.816), I at (0.248, 0.309, 0.499) and I at (0.748, 0.798, 0.487).

The calculation puts the calculated volume at 33.14 Å³/atom. Its crystal system is triclinic. The total energy comes out at -45.69 eV for the cell shown. The offset from the most stable computed form is 0.000 eV per atom. Its energy relative to the elements, uncorrected is -0.344 eV/atom. The magnetization comes out at 0.000 μB/atom.

***

# BaLi2ThTe4

A relaxed BaLi2ThTe4 crystal (PBE-GGA, Alexandria via LeMat-Bulk).

The structure belongs to space group I222 (No. 23); the cell edges are 7.921, 7.924 and 8.989 Å and the angles 90.00°, 90.00° and 90.00°. The distinct sites, in fractional coordinates, are Ba at (0.000, 0.000, 0.000), Li at (0.000, 0.500, 0.249), Th at (0.000, 0.000, 0.500) and Te at (0.221, 0.221, 0.307).

The calculation puts the calculated volume at 35.26 Å³/atom. Its crystal system is orthorhombic. The total energy comes out at -69.78 eV for the cell shown. Its energy relative to the elements, uncorrected is -1.144 eV/atom. The magnetization comes out at 0.000 μB/atom.